A relaxed structure of Pm5CoCu4. Source: the Alexandria database, functional PBE-GGA.

## Properties
energy relative to the elements	-0.1276	eV per atom

Lattice parameters (Å, degrees): 3.517 3.517 17.977 90.00 90.00 90.00
Atoms (fractional coordinates):
Pm 0.000 0.000 0.000
Pm 0.000 0.000 0.202
Pm 0.000 0.000 0.406
Pm 0.000 0.000 0.594
Pm 0.000 0.000 0.798
Co 0.500 0.500 0.500
Cu 0.500 0.500 0.101
Cu 0.500 0.500 0.302
Cu 0.500 0.500 0.698
Cu 0.500 0.500 0.899


A relaxed structure of Pm4CoCu2. Source: the Alexandria database, functional PBE-GGA.

## Properties
energy relative to the elements	0.0763	eV per atom

Lattice parameters (Å, degrees): 7.856 7.856 7.856 140.75 140.75 56.71
Atoms (fractional coordinates):
Pm 0.000 0.500 0.500
Pm 0.196 0.196 0.000
Pm 0.500 0.000 0.500
Pm 0.804 0.804 0.000
Co 0.000 0.000 0.000
Cu 0.401 0.401 0.000
Cu 0.599 0.599 0.000


A relaxed structure of Pm4Co4Cu. Source: the Alexandria database, functional PBE-GGA.

## Properties
energy relative to the elements	0.0297	eV per atom

Lattice parameters (Å, degrees): 8.286 8.286 5.510 90.00 90.00 90.00
Atoms (fractional coordinates):
Pm 0.034 0.688 0.098
Pm 0.188 0.966 0.598
Pm 0.312 0.534 0.598
Pm 0.466 0.812 0.098
Pm 0.534 0.188 0.902
Pm 0.688 0.466 0.402
Pm 0.812 0.034 0.402
Pm 0.966 0.312 0.902
Co 0.013 0.379 0.410
Co 0.121 0.013 0.090
Co 0.379 0.487 0.090
Co 0.487 0.121 0.410
Co 0.513 0.879 0.590
Co 0.621 0.513 0.910
Co 0.879 0.987 0.910
Co 0.987 0.621 0.590
Cu 0.250 0.250 0.250
Cu 0.750 0.750 0.750


A relaxed structure of Pm2Co5Cu5. Source: the Alexandria database, functional PBE-GGA.

## Properties
energy relative to the elements	-0.0767	eV per atom

Lattice parameters (Å, degrees): 4.087 4.900 8.791 90.00 90.00 90.00
Atoms (fractional coordinates):
Pm 0.000 0.000 0.000
Pm 0.000 0.500 0.500
Co 0.500 0.000 0.500
Co 0.500 0.253 0.258
Co 0.500 0.253 0.742
Co 0.500 0.747 0.258
Co 0.500 0.747 0.742
Cu 0.000 0.000 0.331
Cu 0.000 0.000 0.669
Cu 0.000 0.500 0.173
Cu 0.000 0.500 0.827
Cu 0.500 0.500 0.000


A relaxed structure of Pm8CoCu2. Source: the Alexandria database, functional PBE-GGA.

## Properties
distance to the lowest polymorph of the same formula	0.843	eV/f.u.
energy relative to the elements	0.0372	eV per atom

Lattice parameters (Å, degrees): 7.735 7.735 6.168 104.09 104.09 108.01
Atoms (fractional coordinates):
Pm 0.000 0.000 0.000
Pm 0.220 0.513 0.188
Pm 0.272 0.990 0.537
Pm 0.461 0.731 0.847
Pm 0.513 0.220 0.188
Pm 0.731 0.461 0.847
Pm 0.737 0.737 0.429
Pm 0.990 0.272 0.537
Co 0.351 0.351 0.486
Cu 0.067 0.680 0.724
Cu 0.680 0.067 0.724


A relaxed structure of PmCo4Cu. Source: the Alexandria database, functional PBE-GGA.

## Properties
energy relative to the elements	0.0329	eV per atom

Lattice parameters (Å, degrees): 4.945 4.945 4.945 60.00 60.00 60.00
Atoms (fractional coordinates):
Pm 0.000 0.000 0.000
Co 0.128 0.624 0.624
Co 0.624 0.128 0.624
Co 0.624 0.624 0.128
Co 0.624 0.624 0.624
Cu 0.250 0.250 0.250


A relaxed structure of PmPrCoCu. Source: the Alexandria database, functional PBE-GGA.

## Properties
distance to the lowest polymorph of the same formula	0.239	eV/f.u.
energy relative to the elements	-0.0392	eV per atom

Lattice parameters (Å, degrees): 4.985 4.985 4.985 60.00 60.00 60.00
Atoms (fractional coordinates):
Pm 0.000 0.000 0.000
Pr 0.500 0.500 0.500
Co 0.250 0.250 0.250
Cu 0.750 0.750 0.750


A relaxed structure of PmPrCoCu. Source: the Alexandria database, functional PBE-GGA.

## Properties
distance to the lowest polymorph of the same formula	0.000	eV/f.u.
energy relative to the elements	-0.0990	eV per atom

Lattice parameters (Å, degrees): 4.355 5.633 5.633 40.78 90.00 90.00
Atoms (fractional coordinates):
Pm 0.000 0.000 0.000
Pr 0.500 0.721 0.721
Co 0.500 0.432 0.432
Cu 0.000 0.297 0.297


A relaxed structure of PmCoCuSb. Source: the Alexandria database, functional PBE-GGA.

## Properties
formation energy from raw total energies	-212	meV per atom

Lattice parameters (Å, degrees): 4.680 4.680 4.680 60.00 60.00 60.00
Atoms (fractional coordinates):
Pm 0.000 0.000 0.000
Co 0.250 0.250 0.250
Cu 0.750 0.750 0.750
Sb 0.500 0.500 0.500


A relaxed structure of PmScCoCu. Source: the Alexandria database, functional PBE-GGA.

## Properties
energy relative to the elements	-0.1352	eV per atom

Lattice parameters (Å, degrees): 4.744 4.744 4.744 60.00 60.00 60.00
Atoms (fractional coordinates):
Pm 0.000 0.000 0.000
Sc 0.500 0.500 0.500
Co 0.750 0.750 0.750
Cu 0.250 0.250 0.250


A relaxed structure of PmSmCoCu. Source: the Alexandria database, functional PBE-GGA.

## Properties
distance to the lowest polymorph of the same formula	0.208	eV/f.u.
energy relative to the elements	-0.0821	eV per atom

Lattice parameters (Å, degrees): 4.933 4.933 4.933 60.00 60.00 60.00
Atoms (fractional coordinates):
Pm 0.000 0.000 0.000
Sm 0.500 0.500 0.500
Co 0.750 0.750 0.750
Cu 0.250 0.250 0.250


A relaxed structure of PmSmCoCu. Source: the Alexandria database, functional PBE-GGA.

## Properties
distance to the lowest polymorph of the same formula	0.000	eV/f.u.
energy relative to the elements	-0.1341	eV per atom

Lattice parameters (Å, degrees): 4.315 5.577 5.577 40.79 90.00 90.00
Atoms (fractional coordinates):
Pm 0.000 0.000 0.000
Sm 0.500 0.721 0.721
Co 0.000 0.289 0.289
Cu 0.500 0.426 0.426


A relaxed structure of TbPmCoCu. Source: the Alexandria database, functional PBE-GGA.

## Properties
distance to the lowest polymorph of the same formula	0.169	eV/f.u.
energy relative to the elements	-0.1188	eV per atom

Lattice parameters (Å, degrees): 4.890 4.890 4.890 60.00 60.00 60.00
Atoms (fractional coordinates):
Tb 0.000 0.000 0.000
Pm 0.500 0.500 0.500
Co 0.750 0.750 0.750
Cu 0.250 0.250 0.250


A relaxed structure of TbPmCoCu. Source: the Alexandria database, functional PBE-GGA.

## Properties
distance to the lowest polymorph of the same formula	0.000	eV/f.u.
energy relative to the elements	-0.1611	eV per atom

Lattice parameters (Å, degrees): 4.304 5.505 5.505 41.01 90.00 90.00
Atoms (fractional coordinates):
Tb 0.000 0.000 0.000
Pm 0.500 0.280 0.280
Co 0.500 0.566 0.566
Cu 0.000 0.704 0.704


A relaxed structure of PmThCoCu. Source: the Alexandria database, functional PBE-GGA.

## Properties
distance to the lowest polymorph of the same formula	0.000	eV/f.u.
energy relative to the elements	-0.2342	eV per atom

Lattice parameters (Å, degrees): 3.866 6.293 6.293 35.50 90.00 90.00
Atoms (fractional coordinates):
Pm 0.000 0.000 0.000
Th 0.500 0.275 0.275
Co 0.000 0.744 0.744
Cu 0.500 0.586 0.586


A relaxed structure of PmThCoCu. Source: the Alexandria database, functional PBE-GGA.

## Properties
distance to the lowest polymorph of the same formula	0.630	eV/f.u.
energy relative to the elements	-0.0766	eV per atom

Lattice parameters (Å, degrees): 4.961 4.961 4.961 60.00 60.00 60.00
Atoms (fractional coordinates):
Pm 0.000 0.000 0.000
Th 0.500 0.500 0.500
Co 0.250 0.250 0.250
Cu 0.750 0.750 0.750


A relaxed structure of PmZnCoCu. Source: the Alexandria database, functional PBE-GGA.

## Properties
energy relative to the elements	0.0228	eV per atom

Lattice parameters (Å, degrees): 4.586 4.586 4.586 60.00 60.00 60.00
Atoms (fractional coordinates):
Pm 0.000 0.000 0.000
Zn 0.500 0.500 0.500
Co 0.750 0.750 0.750
Cu 0.250 0.250 0.250


A relaxed structure of PmZrCoCu. Source: the Alexandria database, functional PBE-GGA.

## Properties
energy relative to the elements	-0.0370	eV per atom

Lattice parameters (Å, degrees): 4.752 4.752 4.752 60.00 60.00 60.00
Atoms (fractional coordinates):
Pm 0.000 0.000 0.000
Zr 0.500 0.500 0.500
Co 0.750 0.750 0.750
Cu 0.250 0.250 0.250


A relaxed structure of Pr2Co2Cu. Source: the Alexandria database, functional PBE-GGA.

## Properties
energy relative to the elements	0.0369	eV per atom

Lattice parameters (Å, degrees): 7.005 7.005 4.105 90.00 90.00 90.00
Atoms (fractional coordinates):
Pr 0.184 0.316 0.000
Pr 0.316 0.816 0.000
Pr 0.684 0.184 0.000
Pr 0.816 0.684 0.000
Co 0.114 0.614 0.500
Co 0.386 0.114 0.500
Co 0.614 0.886 0.500
Co 0.886 0.386 0.500
Cu 0.000 0.000 0.500
Cu 0.500 0.500 0.500


A relaxed structure of Pr4Co3Cu. Source: the Alexandria database, functional PBE-GGA.

## Properties
energy relative to the elements	-0.0500	eV per atom

Lattice parameters (Å, degrees): 4.056 4.074 11.211 90.00 90.00 90.00
Atoms (fractional coordinates):
Pr 0.000 0.000 0.000
Pr 0.000 0.500 0.493
Pr 0.500 0.000 0.278
Pr 0.500 0.500 0.773
Co 0.000 0.000 0.683
Co 0.000 0.500 0.205
Co 0.500 0.000 0.585
Cu 0.500 0.500 0.075


A relaxed structure of Pr2CoCu. Source: the Alexandria database, functional PBE-GGA.

## Properties
energy relative to the elements	-0.0190	eV per atom

Lattice parameters (Å, degrees): 3.532 3.532 7.268 90.00 90.00 90.00
Atoms (fractional coordinates):
Pr 0.000 0.000 0.239
Pr 0.000 0.000 0.761
Co 0.500 0.500 0.000
Cu 0.500 0.500 0.500


A relaxed structure of Pr8CoCu2. Source: the Alexandria database, functional PBE-GGA.

## Properties
energy relative to the elements	-0.0117	eV per atom

Lattice parameters (Å, degrees): 9.274 9.274 6.961 100.50 100.50 32.40
Atoms (fractional coordinates):
Pr 0.031 0.031 0.288
Pr 0.202 0.202 0.834
Pr 0.340 0.340 0.531
Pr 0.412 0.412 0.060
Pr 0.588 0.588 0.940
Pr 0.660 0.660 0.469
Pr 0.798 0.798 0.166
Pr 0.969 0.969 0.712
Co 0.500 0.500 0.500
Cu 0.193 0.193 0.241
Cu 0.807 0.807 0.759


A relaxed structure of Pr6CoCu2. Source: the Alexandria database, functional PBE-GGA.

## Properties
energy relative to the elements	-0.0334	eV per atom

Lattice parameters (Å, degrees): 6.780 7.386 12.185 90.00 120.88 90.00
Atoms (fractional coordinates):
Pr 0.111 0.036 0.253
Pr 0.111 0.464 0.753
Pr 0.243 0.684 0.069
Pr 0.243 0.816 0.569
Pr 0.385 0.189 0.065
Pr 0.385 0.311 0.565
Pr 0.615 0.689 0.435
Pr 0.615 0.811 0.935
Pr 0.757 0.184 0.431
Pr 0.757 0.316 0.931
Pr 0.889 0.536 0.247
Pr 0.889 0.964 0.747
Co 0.000 0.000 0.000
Co 0.000 0.500 0.500
Cu 0.321 0.103 0.763
Cu 0.321 0.397 0.263
Cu 0.679 0.603 0.737
Cu 0.679 0.897 0.237


A relaxed structure of Pr3CoCu2. Source: the Alexandria database, functional PBE-GGA.

## Properties
energy relative to the elements	-0.1053	eV per atom

Lattice parameters (Å, degrees): 11.722 4.080 12.019 90.00 90.00 90.00
Atoms (fractional coordinates):
Pr 0.048 0.250 0.124
Pr 0.121 0.750 0.551
Pr 0.227 0.250 0.793
Pr 0.273 0.750 0.293
Pr 0.379 0.250 0.051
Pr 0.452 0.750 0.624
Pr 0.548 0.250 0.376
Pr 0.621 0.750 0.949
Pr 0.727 0.250 0.707
Pr 0.773 0.750 0.207
Pr 0.879 0.250 0.449
Pr 0.952 0.750 0.876
Co 0.121 0.250 0.365
Co 0.379 0.750 0.865
Co 0.621 0.250 0.135
Co 0.879 0.750 0.635
Cu 0.018 0.750 0.313
Cu 0.198 0.750 0.986
Cu 0.302 0.250 0.486
Cu 0.482 0.250 0.813
Cu 0.518 0.750 0.187
Cu 0.698 0.750 0.514
Cu 0.802 0.250 0.014
Cu 0.982 0.250 0.687


no.,size of the total moment (μB per formula unit)
1,0.8
2,0.0
3,1.3
4,5.9
5,0.0
6,5.7
7,0.4
8,0.0
9,0.0
10,0.4
11,0.4
12,0.0
13,0.4
14,0.0
15,0.0
16,0.0
17,0.4
18,0.0
19,1.3
20,1.4
21,0.8
22,0.0
23,0.0
24,0.0